Entry 1:
Compound: V4B2N
Source: Alexandria via LeMat-Bulk
Functional: PBE
Structure: relaxed

```
V4B2N
1.0
-0.3897 -2.0197 2.9844
3.5693 0.1964 0.5990
0.7787 4.0046 5.0127
V N B
4 1 2
Direct
0.8225 0.8225 0.3549
0.0000 0.5000 0.0000
0.5000 0.0000 0.0000
0.1775 0.1775 0.6451
0.0000 0.0000 0.0000
0.6397 0.6397 0.7207
0.3603 0.3603 0.2793
```

## Properties
Formation energy from raw total energies: -171 meV per atom
Size of the total moment: 0.00 μB per atom
Theoretical density: 5100 kg/m3
Calculated total energy: -8.479 eV per atom

***

Entry 2:
Compound: VB3N
Source: Alexandria via LeMat-Bulk
Functional: PBE
Structure: relaxed

```
VB3N
1.0
3.4079 0.0000 0.0000
0.0000 3.4079 0.0000
0.0000 0.0000 3.4079
B V N
3 1 1
Direct
0.0000 0.0000 0.5000
0.0000 0.5000 0.0000
0.5000 0.0000 0.0000
0.5000 0.5000 0.5000
0.0000 0.0000 0.0000
```

## Properties
Formation energy from raw total energies: 1381 meV per atom
Size of the total moment: 0.00 μB per atom
Theoretical density: 4086 kg/m3
Calculated total energy: -6.114 eV per atom
Polymorph energy (0 for the lowest one): 0 meV per atom

***

Entry 3:
Compound: BW4N9
Source: Alexandria via LeMat-Bulk
Functional: PBE
Structure: relaxed

```
BW4N9
1.0
4.2844 -7.4209 0.0000
4.2844 7.4209 0.0000
0.0000 0.0000 4.8529
N W B
18 8 2
Direct
0.9054 0.1047 0.9822
0.2200 0.7819 0.9795
0.8007 0.9054 0.4822
0.1080 0.5612 0.4350
0.1047 0.1993 0.4822
0.8920 0.4388 0.9350
0.4388 0.5468 0.4350
0.0946 0.8953 0.4822
0.7800 0.2181 0.4795
0.5612 0.4532 0.9350
0.7819 0.5619 0.4795
0.4381 0.2200 0.4795
0.2181 0.4381 0.9795
0.1993 0.0946 0.9822
0.5619 0.7800 0.9795
0.8953 0.8007 0.9822
0.5468 0.1080 0.9350
0.4532 0.8920 0.4350
0.6818 0.6464 0.1717
0.3182 0.3536 0.6717
0.6464 0.9646 0.6717
0.3333 0.6667 0.1673
0.3536 0.0354 0.1717
0.9646 0.3182 0.1717
0.0354 0.6818 0.6717
0.6667 0.3333 0.6673
0.0000 0.0000 0.9818
0.0000 0.0000 0.4818
```

## Properties
Formation energy from raw total energies: -140 meV per atom
Size of the total moment: 0.00 μB per atom
Theoretical density: 9387 kg/m3
Calculated total energy: -9.670 eV per atom

***

Entry 4:
Compound: B3WN3
Source: Alexandria via LeMat-Bulk
Functional: PBE
Structure: relaxed

```
B3WN3
1.0
-4.2320 -0.2674 -2.0424
2.0146 -1.5096 -3.9769
-0.4291 -4.4500 1.4718
B N W
6 6 2
Direct
0.0000 0.5000 0.2500
0.7500 0.0000 0.5000
0.5000 0.2500 0.0000
0.2500 0.0000 0.5000
0.0000 0.5000 0.7500
0.5000 0.7500 0.0000
0.5000 0.0000 0.2500
0.0000 0.2500 0.5000
0.7500 0.5000 0.0000
0.0000 0.7500 0.5000
0.5000 0.0000 0.7500
0.2500 0.5000 0.0000
0.0000 0.0000 0.0000
0.5000 0.5000 0.5000
```

## Properties
Formation energy from raw total energies: 958 meV per atom
Size of the total moment: 0.00 μB per atom
Theoretical density: 8227 kg/m3
Calculated total energy: -7.323 eV per atom

***

Entry 5:
Compound: B2WN
Source: Alexandria via LeMat-Bulk
Functional: PBE
Structure: relaxed

```
B2WN
1.0
4.9979 0.0000 0.0000
0.0000 4.9979 0.0000
2.4990 2.4990 2.8749
B W N
4 2 2
Direct
0.5112 0.1250 0.2500
0.3750 0.4888 0.7500
0.2388 0.6250 0.2500
0.8750 0.7612 0.7500
0.0000 0.0000 0.0000
0.7500 0.2500 0.5000
0.5000 0.5000 0.0000
0.2500 0.7500 0.5000
```

## Properties
Formation energy from raw total energies: 404 meV per atom
Size of the total moment: 0.00 μB per atom
Theoretical density: 10150 kg/m3
Calculated total energy: -8.255 eV per atom

***

Entry 6:
Compound: BW3N
Source: Alexandria via LeMat-Bulk
Functional: PBE
Structure: relaxed

```
BW3N
1.0
4.0272 0.0000 0.0000
0.0000 4.0272 0.0000
0.0000 0.0000 4.0272
B W N
1 3 1
Direct
0.5000 0.5000 0.5000
0.0000 0.5000 0.0000
0.0000 0.0000 0.5000
0.5000 0.0000 0.0000
0.0000 0.0000 0.0000
```

## Properties
Formation energy from raw total energies: 648 meV per atom
Size of the total moment: 0.00 μB per atom
Theoretical density: 14653 kg/m3
Calculated total energy: -10.125 eV per atom
Polymorph energy (0 for the lowest one): 0 meV per atom

***

Entry 7:
Compound: Y2BN
Source: Alexandria via LeMat-Bulk
Functional: PBE
Structure: relaxed

```
Y2BN
1.0
0.0000 3.1500 3.1500
3.1500 0.0000 3.1500
3.1500 3.1500 0.0000
Y N B
2 1 1
Direct
0.2500 0.2500 0.2500
0.7500 0.7500 0.7500
0.5000 0.5000 0.5000
0.0000 0.0000 0.0000
```

## Properties
Formation energy from raw total energies: 106 meV per atom
Size of the total moment: 0.15 μB per atom
Theoretical density: 5382 kg/m3
Calculated total energy: -6.876 eV per atom
Polymorph energy (0 for the lowest one): 522 meV per atom

***

Entry 8:
Compound: YBN
Source: Alexandria via LeMat-Bulk
Functional: PBE
Structure: relaxed

```
YBN
1.0
3.5324 -0.0254 -0.2581
-0.0425 3.5323 -0.2581
-2.1642 -2.1747 6.4809
Y N B
2 2 2
Direct
0.0915 0.0915 0.7863
0.9085 0.9085 0.2137
0.3807 0.3807 0.1720
0.6193 0.6193 0.8280
0.5374 0.5374 0.4037
0.4626 0.4626 0.5963
```

## Properties
Formation energy from raw total energies: -1091 meV per atom
Size of the total moment: 0.00 μB per atom
Theoretical density: 4914 kg/m3
Calculated total energy: -8.246 eV per atom